Entry 1:
Computed, not measured: crystalline KUTe2Pd at its relaxed geometry at the PBE level of DFT.

## Properties
- Formation energy (no corrections): -0.62 eV/atom
- Raw total energy: -0.1980 hartree per atom
- Crystal system: monoclinic

Cell and atoms, written as CIF:
```
data_KUTe2Pd
_chemical_formula_sum 'K2 U2 Te4 Pd2'
_cell_length_a 9.1903
_cell_length_b 4.7348
_cell_length_c 7.7683
_cell_angle_alpha 90.00
_cell_angle_beta 99.00
_cell_angle_gamma 90.00
_space_group_name_H-M_alt 'P 1 2/c 1'
_space_group_IT_number 13
loop_
_space_group_symop_operation_xyz
'x,y,z'
'-x,-y,-z'
'-x,y,-z+1/2'
'x,-y,z+1/2'
loop_
_atom_site_label
_atom_site_type_symbol
_atom_site_fract_x
_atom_site_fract_y
_atom_site_fract_z
K1 K 0.0000 0.2136 0.2500
U1 U 0.5000 0.4972 0.7500
Te1 Te 0.2517 0.2849 0.9559
Pd1 Pd 0.5000 0.0000 0.0000
```

Entry 2:
Computed, not measured: crystalline SiAsPdSe2 at its relaxed geometry at the PBE level of DFT.

## Properties
- Formation energy (no corrections): 0.61 eV/atom
- Raw total energy: -0.1409 hartree per atom
- Crystal system: tetragonal
- Energy above the most stable polymorph in this dataset: 0.000 eV per atom

Cell and atoms, written as CIF:
```
data_SiAsPdSe2
_chemical_formula_sum 'Si1 As1 Pd1 Se2'
_cell_length_a 4.7626
_cell_length_b 4.7626
_cell_length_c 4.7612
_cell_angle_alpha 90.00
_cell_angle_beta 90.00
_cell_angle_gamma 90.00
_space_group_name_H-M_alt 'P 4/m m m'
_space_group_IT_number 123
_space_group_name_Hall '-P 4 2'
loop_
_atom_site_label
_atom_site_type_symbol
_atom_site_fract_x
_atom_site_fract_y
_atom_site_fract_z
Si1 Si 0.0000 0.0000 0.0000
As1 As 0.0000 0.0000 0.5000
Pd1 Pd 0.5000 0.5000 0.5000
Se1 Se 0.0000 0.5000 0.0000
```

Entry 3:
Computed, not measured: crystalline AcZnF5 at its relaxed geometry at the PBE level of DFT.

## Properties
- Formation energy (no corrections): -3.29 eV/atom
- Raw total energy: -0.1984 hartree per atom
- Crystal system: orthorhombic
- Energy above the most stable polymorph in this dataset: 0.038 eV per atom

Cell and atoms, written as CIF:
```
data_AcZnF5
_chemical_formula_sum 'Ac2 Zn2 F10'
_cell_length_a 4.2132
_cell_length_b 6.8106
_cell_length_c 8.7368
_cell_angle_alpha 90.00
_cell_angle_beta 90.00
_cell_angle_gamma 90.00
_space_group_name_H-M_alt 'I m m m'
_space_group_IT_number 71
_space_group_name_Hall '-I 2 2'
loop_
_atom_site_label
_atom_site_type_symbol
_atom_site_fract_x
_atom_site_fract_y
_atom_site_fract_z
Ac1 Ac 0.0000 0.0000 0.0000
Zn1 Zn 0.0000 0.0000 0.5000
F1 F 0.0000 0.0000 0.2688
F2 F 0.0000 0.3045 0.5000
F3 F 0.0000 0.5000 0.0000
```

Entry 4:
Computed, not measured: crystalline GdYAgGe at its relaxed geometry at the PBE level of DFT.

## Properties
- Raw total energy: -0.2777 hartree per atom
- Crystal system: cubic

Cell and atoms, written as CIF:
```
data_GdYAgGe
_chemical_formula_sum 'Gd4 Y4 Ag4 Ge4'
_cell_length_a 7.2252
_cell_length_b 7.2252
_cell_length_c 7.2252
_cell_angle_alpha 90.00
_cell_angle_beta 90.00
_cell_angle_gamma 90.00
_space_group_name_H-M_alt 'F -4 3 m'
_space_group_IT_number 216
_space_group_name_Hall 'F -4 2 3'
loop_
_atom_site_label
_atom_site_type_symbol
_atom_site_fract_x
_atom_site_fract_y
_atom_site_fract_z
Gd1 Gd 0.0000 0.0000 0.0000
Y1 Y 0.0000 0.0000 0.5000
Ag1 Ag 0.2500 0.2500 0.2500
Ge1 Ge 0.2500 0.2500 0.7500
```

Entry 5:
Computed, not measured: crystalline Mg2CdSe at its relaxed geometry at the PBE level of DFT.

## Properties
- Formation energy (no corrections): -0.30 eV/atom
- Raw total energy: -0.0807 hartree per atom
- Crystal system: monoclinic
- Energy above the most stable polymorph in this dataset: 0.191 eV per atom

Cell and atoms, written as CIF:
```
data_Mg2CdSe
_chemical_formula_sum 'Mg4 Cd2 Se2'
_cell_length_a 6.2013
_cell_length_b 7.7962
_cell_length_c 3.5790
_cell_angle_alpha 90.00
_cell_angle_beta 91.50
_cell_angle_gamma 90.00
_space_group_name_H-M_alt 'C 1 2/m 1'
_space_group_IT_number 12
loop_
_space_group_symop_operation_xyz
'x,y,z'
'-x,-y,-z'
'-x,y,-z'
'x,-y,z'
'x+1/2,y+1/2,z'
'-x+1/2,-y+1/2,-z'
'-x+1/2,y+1/2,-z'
'x+1/2,-y+1/2,z'
loop_
_atom_site_label
_atom_site_type_symbol
_atom_site_fract_x
_atom_site_fract_y
_atom_site_fract_z
Mg1 Mg 0.2500 0.2500 0.0000
Cd1 Cd 0.0000 0.0000 0.5000
Se1 Se 0.0000 0.5000 0.5000
```

Entry 6:
Computed, not measured: crystalline Pu2HgPd at its relaxed geometry at the PBE level of DFT.

## Properties
- Raw total energy: -0.3098 hartree per atom
- Crystal system: trigonal
- Energy above the most stable polymorph in this dataset: 0.358 eV per atom

Cell and atoms, written as CIF:
```
data_Pu2HgPd
_chemical_formula_sum 'Pu6 Hg3 Pd3'
_cell_length_a 3.5472
_cell_length_b 3.5472
_cell_length_c 25.3264
_cell_angle_alpha 90.00
_cell_angle_beta 90.00
_cell_angle_gamma 120.00
_space_group_name_H-M_alt 'R 3 m'
_space_group_IT_number 160
_space_group_name_Hall 'R 3 -2"'
loop_
_atom_site_label
_atom_site_type_symbol
_atom_site_fract_x
_atom_site_fract_y
_atom_site_fract_z
Pu1 Pu 0.0000 0.0000 0.0000
Pu2 Pu 0.0000 0.0000 0.2800
Hg1 Hg 0.0000 0.0000 0.1589
Pd1 Pd 0.0000 0.0000 0.4125
```

Entry 7:
Computed, not measured: crystalline Sb2TeHPt at its relaxed geometry at the PBE level of DFT.

## Properties
- Raw total energy: -0.1326 hartree per atom
- Crystal system: tetragonal
- Energy above the most stable polymorph in this dataset: 0.584 eV per atom

Cell and atoms, written as CIF:
```
data_Sb2TeHPt
_chemical_formula_sum 'Sb2 Te1 H1 Pt1'
_cell_length_a 4.7484
_cell_length_b 4.7484
_cell_length_c 4.3684
_cell_angle_alpha 90.00
_cell_angle_beta 90.00
_cell_angle_gamma 90.00
_space_group_name_H-M_alt 'P 4/m m m'
_space_group_IT_number 123
_space_group_name_Hall '-P 4 2'
loop_
_atom_site_label
_atom_site_type_symbol
_atom_site_fract_x
_atom_site_fract_y
_atom_site_fract_z
Sb1 Sb 0.0000 0.5000 0.0000
Te1 Te 0.0000 0.0000 0.5000
H1 H 0.0000 0.0000 0.0000
Pt1 Pt 0.5000 0.5000 0.5000
```

Entry 8:
Computed, not measured: crystalline ZnCdPb4 at its relaxed geometry at the PBE level of DFT.

## Properties
- Raw total energy: -0.0931 hartree per atom
- Crystal system: cubic

Cell and atoms, written as CIF:
```
data_ZnCdPb4
_chemical_formula_sum 'Zn4 Cd4 Pb16'
_cell_length_a 9.1505
_cell_length_b 9.1505
_cell_length_c 9.1505
_cell_angle_alpha 90.00
_cell_angle_beta 90.00
_cell_angle_gamma 90.00
_space_group_name_H-M_alt 'F -4 3 m'
_space_group_IT_number 216
_space_group_name_Hall 'F -4 2 3'
loop_
_atom_site_label
_atom_site_type_symbol
_atom_site_fract_x
_atom_site_fract_y
_atom_site_fract_z
Zn1 Zn 0.0000 0.0000 0.0000
Cd1 Cd 0.2500 0.2500 0.7500
Pb1 Pb 0.1250 0.1250 0.3750
```

Entry 9:
Computed, not measured: crystalline SrLa2Pb at its relaxed geometry at the PBE level of DFT.

## Properties
- Raw total energy: -0.1490 hartree per atom
- Crystal system: tetragonal

Cell and atoms, written as CIF:
```
data_SrLa2Pb
_chemical_formula_sum 'Sr2 La4 Pb2'
_cell_length_a 5.0520
_cell_length_b 5.0520
_cell_length_c 10.7848
_cell_angle_alpha 90.00
_cell_angle_beta 90.00
_cell_angle_gamma 90.00
_space_group_name_H-M_alt 'I 4/m m m'
_space_group_IT_number 139
_space_group_name_Hall '-I 4 2'
loop_
_atom_site_label
_atom_site_type_symbol
_atom_site_fract_x
_atom_site_fract_y
_atom_site_fract_z
Sr1 Sr 0.0000 0.0000 0.0000
La1 La 0.0000 0.5000 0.2500
Pb1 Pb 0.0000 0.0000 0.5000
```

Entry 10:
Computed, not measured: crystalline YAlFe3 at its relaxed geometry at the PBE level of DFT.

## Properties
- Raw total energy: -0.2418 hartree per atom
- Crystal system: cubic
- Energy above the most stable polymorph in this dataset: 0.000 eV per atom

Cell and atoms, written as CIF:
```
data_YAlFe3
_chemical_formula_sum 'Y1 Al1 Fe3'
_cell_length_a 4.4480
_cell_length_b 4.4480
_cell_length_c 4.4480
_cell_angle_alpha 90.00
_cell_angle_beta 90.00
_cell_angle_gamma 90.00
_space_group_name_H-M_alt 'P m -3 m'
_space_group_IT_number 221
_space_group_name_Hall '-P 4 2 3'
loop_
_atom_site_label
_atom_site_type_symbol
_atom_site_fract_x
_atom_site_fract_y
_atom_site_fract_z
Y1 Y 0.0000 0.0000 0.0000
Al1 Al 0.5000 0.5000 0.5000
Fe1 Fe 0.0000 0.5000 0.5000
```

Entry 11:
Computed, not measured: crystalline Pr2MoC2 at its relaxed geometry at the PBE level of DFT.

## Properties
- Raw total energy: -0.2912 hartree per atom
- Crystal system: tetragonal
- Energy above the most stable polymorph in this dataset: 0.000 eV per atom

Cell and atoms, written as CIF:
```
data_Pr2MoC2
_chemical_formula_sum 'Pr8 Mo4 C8'
_cell_length_a 5.8570
_cell_length_b 5.8570
_cell_length_c 10.5375
_cell_angle_alpha 90.00
_cell_angle_beta 90.00
_cell_angle_gamma 90.00
_space_group_name_H-M_alt 'P 42/m n m'
_space_group_IT_number 136
_space_group_name_Hall '-P 4n 2n'
loop_
_atom_site_label
_atom_site_type_symbol
_atom_site_fract_x
_atom_site_fract_y
_atom_site_fract_z
Pr1 Pr 0.1971 0.1971 0.1554
Mo1 Mo 0.1750 0.1750 0.5000
C1 C 0.0000 0.0000 0.3577
C2 C 0.0000 0.5000 0.0000
```

Entry 12:
Computed, not measured: crystalline Sr2NdTmS4 at its relaxed geometry at the PBE level of DFT.

## Properties
- Formation energy (no corrections): -2.02 eV/atom
- Raw total energy: -0.2080 hartree per atom
- Crystal system: monoclinic

Cell and atoms, written as CIF:
```
data_Sr2NdTmS4
_chemical_formula_sum 'Sr2 Nd1 Tm1 S4'
_cell_length_a 7.0577
_cell_length_b 4.0646
_cell_length_c 7.1963
_cell_angle_alpha 90.00
_cell_angle_beta 108.96
_cell_angle_gamma 90.00
_space_group_name_H-M_alt 'P 1 2/m 1'
_space_group_IT_number 10
loop_
_space_group_symop_operation_xyz
'x,y,z'
'-x,-y,-z'
'-x,y,-z'
'x,-y,z'
loop_
_atom_site_label
_atom_site_type_symbol
_atom_site_fract_x
_atom_site_fract_y
_atom_site_fract_z
Sr1 Sr 0.0000 0.0000 0.0000
Sr2 Sr 0.5000 0.5000 0.0000
Nd1 Nd 0.0000 0.5000 0.5000
Tm1 Tm 0.5000 0.0000 0.5000
S1 S 0.2558 0.0000 0.7352
S2 S 0.2670 0.5000 0.2716
```

- The lowest raw total energy belongs to which entry?
  Pu2HgPd